A geometry-optimized Ca2MnRe structure. Source: Alexandria, functional PBE.

Summary:
Energy   -5.90 eV per atom
Offset from the most stable computed form   0.191 eV per atom
SG   Imm2
DFT formation energy   501 meV/atom

Cell and atoms, written as POSCAR:
```
Ca2MnRe
1.0
-1.092 4.474 -3.615
-5.662 1.216 -0.858
4.253 -0.417 4.002
Mn Re Ca
1 1 2
Cartesian
-3.024 2.547 -2.002
-2.776 2.144 0.200
0.032 3.332 -0.832
-0.111 0.094 -0.074
```